First-principles (PBE) data for a relaxed RbZn2SiPt crystal, as listed in Alexandria. Values from VASP.

Geometry as Quantum ESPRESSO input:
```
&SYSTEM
  ibrav = 0, nat = 5, ntyp = 4
/
ATOMIC_SPECIES
Zn 65.41 Zn.upf
Si 28.09 Si.upf
Rb 85.47 Rb.upf
Pt 195.08 Pt.upf
CELL_PARAMETERS angstrom
-2.6311 1.1261 -4.1275
2.5957 -3.4317 -2.5910
-3.1989 -3.2830 1.1435
ATOMIC_POSITIONS crystal
Zn 0.0000 0.5000 0.0000
Zn 0.5000 0.0000 0.0000
Si 0.0000 0.0000 0.5000
Rb 0.5000 0.5000 0.5000
Pt 0.0000 0.0000 0.0000
```

energy relative to the elements, uncorrected: -116.1 meV/atom
E_tot: -15.560 eV/cell

=====

First-principles (PBE) data for a relaxed HfZnRh2 crystal, as listed in Alexandria. Values from VASP.

Geometry as Quantum ESPRESSO input:
```
&SYSTEM
  ibrav = 0, nat = 4, ntyp = 3
/
ATOMIC_SPECIES
Hf 178.49 Hf.upf
Zn 65.41 Zn.upf
Rh 102.91 Rh.upf
CELL_PARAMETERS angstrom
-1.8047 0.4939 5.3895
-1.2671 -3.9180 -3.9487
3.8559 -1.6868 -3.8516
ATOMIC_POSITIONS crystal
Hf 0.0000 0.5000 0.5000
Zn 0.0000 0.0000 0.0000
Rh 0.0000 0.2480 0.2480
Rh 0.0000 0.7520 0.7520
```

energy relative to the elements: 0.10 eV per atom
E_tot: -25.525 eV/cell

=====

First-principles (PBE) data for a relaxed Cd2SbMo crystal, as listed in Alexandria. Values from VASP.

Geometry as Quantum ESPRESSO input:
```
&SYSTEM
  ibrav = 0, nat = 4, ntyp = 3
/
ATOMIC_SPECIES
Cd 112.41 Cd.upf
Mo 95.94 Mo.upf
Sb 121.76 Sb.upf
CELL_PARAMETERS angstrom
9.9067 -0.1222 -0.0716
9.4306 3.0365 -0.0716
9.4306 1.4213 2.6843
ATOMIC_POSITIONS crystal
Cd 0.9942 0.9942 0.9942
Cd 0.5058 0.5058 0.5058
Mo 0.2500 0.2500 0.2500
Sb 0.7500 0.7500 0.7500
```

energy relative to the elements, uncorrected: 518.4 meV/atom
E_tot: -14.710 eV/cell

=====

First-principles (PBE) data for a relaxed Ni2TePb crystal, as listed in Alexandria. Values from VASP.

Geometry as Quantum ESPRESSO input:
```
&SYSTEM
  ibrav = 0, nat = 4, ntyp = 3
/
ATOMIC_SPECIES
Ni 58.69 Ni.upf
Pb 207.20 Pb.upf
Te 127.60 Te.upf
CELL_PARAMETERS angstrom
-2.7290 0.4653 -2.6624
0.5202 -1.3185 -3.5697
-3.2218 -5.6564 -0.4167
ATOMIC_POSITIONS crystal
Ni 0.9887 0.9887 0.0362
Ni 0.5113 0.5113 0.4638
Pb 0.7500 0.7500 0.7500
Te 0.2500 0.2500 0.2500
```

energy relative to the elements, uncorrected: 119.8 meV/atom
energy relative to the lowest polymorph listed for this composition: 0.203 eV/atom
E_tot: -17.933 eV/cell